No. 1
# meta-GGA SCAN AlCuNF2, single point on PBEsol structure
data_AlCuNF2
_chemical_formula_sum 'Al1 Cu1 N1 F2'
_space_group_name_H-M_alt 'P 4/m m m'
_space_group_IT_number 123
_space_group_name_Hall '-P 4 2'
_cell_length_a 3.499
_cell_length_b 3.499
_cell_length_c 4.083
_cell_angle_alpha 90.00
_cell_angle_beta 90.00
_cell_angle_gamma 90.00
loop_
_atom_site_label
_atom_site_type_symbol
_atom_site_fract_x
_atom_site_fract_y
_atom_site_fract_z
Al1 Al 0.000 0.000 0.000
Cu1 Cu 0.500 0.500 0.500
N1 N 0.000 0.000 0.500
F1 F 0.000 0.500 0.000
# Calculated volume ... 50.0 Å³/cell
# Raw formation energy ... -1461 meV per atom
# Total magnetization ... 0.0 μB/f.u.

No. 2
# meta-GGA SCAN RbAlCuF6, single point on PBEsol structure
data_RbAlCuF6
_chemical_formula_sum 'Rb4 Al4 Cu4 F24'
_space_group_name_H-M_alt 'P n m a'
_space_group_IT_number 62
_cell_length_a 6.782
_cell_length_b 7.074
_cell_length_c 9.889
_cell_angle_alpha 90.00
_cell_angle_beta 90.00
_cell_angle_gamma 90.00
loop_
_space_group_symop_operation_xyz
'x,y,z'
'-x,-y,-z'
'-x+1/2,-y,z+1/2'
'x+1/2,y,-z+1/2'
'x+1/2,-y+1/2,-z+1/2'
'-x+1/2,y+1/2,z+1/2'
'-x,y+1/2,-z'
'x,-y+1/2,z'
loop_
_atom_site_label
_atom_site_type_symbol
_atom_site_fract_x
_atom_site_fract_y
_atom_site_fract_z
Rb1 Rb 0.016 0.250 0.123
Al1 Al 0.000 0.000 0.500
Cu1 Cu 0.199 0.250 0.762
F1 F 0.059 0.250 0.474
F2 F 0.060 0.750 0.166
F3 F 0.128 0.002 0.660
F4 F 0.229 0.557 0.417
# Calculated volume ... 474.4 Å³/cell
# Raw formation energy ... -3041 meV per atom
# Total magnetization ... 1.0 μB/f.u.

No. 3
# meta-GGA SCAN AlCuSi2F, single point on PBEsol structure
data_AlCuSi2F
_chemical_formula_sum 'Al1 Cu1 Si2 F1'
_space_group_name_H-M_alt 'P 4/m m m'
_space_group_IT_number 123
_space_group_name_Hall '-P 4 2'
_cell_length_a 4.318
_cell_length_b 4.318
_cell_length_c 4.070
_cell_angle_alpha 90.00
_cell_angle_beta 90.00
_cell_angle_gamma 90.00
loop_
_atom_site_label
_atom_site_type_symbol
_atom_site_fract_x
_atom_site_fract_y
_atom_site_fract_z
Al1 Al 0.000 0.000 0.000
Cu1 Cu 0.500 0.500 0.000
Si1 Si 0.000 0.500 0.500
F1 F 0.500 0.500 0.500
# Calculated volume ... 75.9 Å³/cell
# Raw formation energy ... 392 meV per atom
# Total magnetization ... 0.0 μB/f.u.